Run A
An optimized crystal structure of SmHo2Ag, computed with PBE.

Values from the calculation:
M_tot: 0.0 μB per cell

Cell: 6.411 6.411 7.886 Å, 90.00 90.00 134.17°
Fractional positions:
Sm1 0.052 0.948 0.750
Sm2 0.948 0.052 0.250
Ho1 0.356 0.644 0.536
Ho2 0.356 0.644 0.964
Ho3 0.644 0.356 0.036
Ho4 0.644 0.356 0.464
Ag1 0.206 0.794 0.250
Ag2 0.794 0.206 0.750

=====

Run B
An optimized crystal structure of SmHo2Ag, computed with PBE.

Values from the calculation:
M_tot: 0.0 μB per cell

Cell: 10.573 10.573 10.573 Å, 19.61 19.61 19.61°
Fractional positions:
Sm1 0.000 0.000 0.000
Ho1 0.240 0.240 0.240
Ho2 0.427 0.427 0.427
Ag1 0.833 0.833 0.833

=====

Run C
An optimized crystal structure of SmHo2Ag, computed with PBE.

Values from the calculation:
M_tot: 0.0 μB per cell

Cell: 3.580 3.580 8.833 Å, 90.00 90.00 90.00°
Fractional positions:
Sm1 0.000 0.000 0.000
Ho1 0.500 0.500 0.290
Ho2 0.500 0.500 0.710
Ag1 0.000 0.000 0.500

=====

Relative energies, unit kJ/mol of atoms: run A 5.8; run B 12.4; run C 0.0

=====

Run A
An optimized crystal structure of SmHo2Ag, computed with PBE.

Values from the calculation:
M_tot: 0.0 μB per cell

Cell: 10.684 10.684 10.684 Å, 19.19 19.19 19.19°
Fractional positions:
Sm1 0.000 0.000 0.000
Ho1 0.241 0.241 0.241
Ho2 0.759 0.759 0.759
Ag1 0.500 0.500 0.500

=====

Run B
An optimized crystal structure of SmHo2Ag, computed with PBE.

Values from the calculation:
M_tot: 0.0 μB per cell

Cell: 5.482 5.482 3.653 Å, 90.00 90.00 90.00°
Fractional positions:
Sm1 0.000 0.000 0.000
Ho1 0.000 0.500 0.500
Ho2 0.500 0.000 0.500
Ag1 0.500 0.500 0.000

=====

Relative energies, unit kJ/mol of atoms: run A 0.0; run B 3.8

=====

Run A
An optimized crystal structure of SmHo4Ag, computed with PBE.

Values from the calculation:
M_tot: 0.0 μB per cell

Cell: 3.552 3.552 13.877 Å, 90.00 90.00 90.00°
Fractional positions:
Sm1 0.000 0.000 0.000
Ho1 0.000 0.000 0.364
Ho2 0.000 0.000 0.636
Ho3 0.500 0.500 0.182
Ho4 0.500 0.500 0.818
Ag1 0.500 0.500 0.500

=====

Run B
An optimized crystal structure of SmHo4Ag, computed with PBE.

Values from the calculation:
M_tot: 0.0 μB per cell

Cell: 10.800 10.800 6.447 Å, 90.00 90.00 150.99°
Fractional positions:
Sm1 0.135 0.865 0.500
Sm2 0.865 0.135 0.000
Ho1 0.067 0.933 0.007
Ho2 0.258 0.742 0.129
Ho3 0.324 0.676 0.641
Ho4 0.466 0.534 0.844
Ho5 0.534 0.466 0.344
Ho6 0.676 0.324 0.141
Ho7 0.742 0.258 0.629
Ho8 0.933 0.067 0.507
Ag1 0.398 0.602 0.252
Ag2 0.602 0.398 0.752

=====

Relative energies, unit kJ/mol of atoms: run A 0.0; run B 12.8

=====

Run A
An optimized crystal structure of SmHo2Ag2, computed with PBE.

Values from the calculation:
M_tot: 0.0 μB per cell

Cell: 3.642 5.295 13.567 Å, 90.00 97.69 90.00°
Fractional positions:
Sm1 0.146 0.250 0.291
Sm2 0.854 0.750 0.709
Ho1 0.048 0.750 0.095
Ho2 0.235 0.750 0.469
Ho3 0.765 0.250 0.531
Ho4 0.952 0.250 0.905
Ag1 0.357 0.250 0.715
Ag2 0.455 0.750 0.910
Ag3 0.545 0.250 0.090
Ag4 0.643 0.750 0.285

=====

Run B
An optimized crystal structure of SmHo2Ag2, computed with PBE.

Values from the calculation:
M_tot: 0.0 μB per cell

Cell: 4.929 4.929 6.473 Å, 108.78 108.78 89.44°
Fractional positions:
Sm1 0.000 0.000 0.000
Ho1 0.250 0.750 0.500
Ho2 0.750 0.250 0.500
Ag1 0.360 0.360 0.779
Ag2 0.640 0.640 0.221

=====

Relative energies, unit kJ/mol of atoms: run A 0.0; run B 17.1

=====

Run A
An optimized crystal structure of Sm2HoAg2, computed with PBE.

Values from the calculation:
M_tot: 0.0 μB per cell

Cell: 5.767 4.730 10.810 Å, 90.00 97.30 90.00°
Fractional positions:
Sm1 0.108 0.250 0.378
Sm2 0.254 0.250 0.046
Sm3 0.746 0.750 0.954
Sm4 0.892 0.750 0.622
Ho1 0.412 0.250 0.716
Ho2 0.588 0.750 0.284
Ag1 0.231 0.750 0.858
Ag2 0.368 0.750 0.531
Ag3 0.632 0.250 0.469
Ag4 0.769 0.250 0.142

=====

Run B
An optimized crystal structure of Sm2HoAg2, computed with PBE.

Values from the calculation:
M_tot: 0.0 μB per cell

Cell: 13.733 13.733 5.291 Å, 90.00 90.00 164.57°
Fractional positions:
Sm1 0.047 0.953 0.750
Sm2 0.234 0.766 0.750
Sm3 0.766 0.234 0.250
Sm4 0.953 0.047 0.250
Ho1 0.145 0.855 0.250
Ho2 0.855 0.145 0.750
Ag1 0.358 0.642 0.250
Ag2 0.449 0.551 0.750
Ag3 0.551 0.449 0.250
Ag4 0.642 0.358 0.750

=====

Relative energies, unit kJ/mol of atoms: run A 12.4; run B 0.0